1.
The following is a PBE-GGA calculation of Ce5CuRu6 after structural relaxation, from Alexandria.

Values from the calculation:
For the density, the calculation gives 9.95 g cm⁻³. The formation enthalpy at 0 K is -0.235 eV per atom. The value obtained for the volume is 229 Å³ per cell. The final energy comes out at -92.2 eV per formula unit.

Lattice parameters (Å, degrees): 4.611 6.797 8.214 114.38 101.52 90.14
Space group P-1 (No. 2)
Unique sites:
Ce  0.000  0.000  0.000 [1 per cell]
Ce  0.368  0.815  0.630 [2 per cell]
Ce  0.373  0.362  0.723 [2 per cell]
Cu  0.000  0.500  0.000 [1 per cell]
Ru  0.111  0.411  0.319 [2 per cell]
Ru  0.111  0.907  0.319 [2 per cell]
Ru  0.499  0.218  0.999 [2 per cell]

***

2.
The following is a PBE-GGA calculation of CeScCuRu after structural relaxation, from Alexandria.

Values from the calculation:
For the density, the calculation gives 7.60 g cm⁻³. The formation enthalpy at 0 K is -0.279 eV per atom. The value obtained for the volume is 306 Å³ per cell. The final energy comes out at -26.8 eV per formula unit.

Lattice parameters (Å, degrees): 6.737 6.737 6.737 90.00 90.00 90.00
Space group F-43m (No. 216)
Unique sites:
Ce  0.000  0.000  0.000 [4 per cell]
Sc  0.000  0.000  0.500 [4 per cell]
Cu  0.250  0.250  0.750 [4 per cell]
Ru  0.250  0.250  0.250 [4 per cell]

***

3.
The following is a PBE-GGA calculation of CeCuSi2Ru after structural relaxation, from Alexandria.

Values from the calculation:
For the density, the calculation gives 7.20 g cm⁻³. As for the raw formation energy: -14.61 kcal/mol of atoms. The value obtained for the volume is 166 Å³ per cell. The final energy comes out at -33.3 eV per formula unit.

Lattice parameters (Å, degrees): 4.048 4.048 10.154 90.00 90.00 90.00
Space group I-4m2 (No. 119)
Unique sites:
Ce  0.000  0.000  0.000 [2 per cell]
Cu  0.000  0.500  0.750 [2 per cell]
Si  0.000  0.000  0.380 [4 per cell]
Ru  0.000  0.500  0.250 [2 per cell]

***

4.
The following is a PBE-GGA calculation of CeSmCuRu after structural relaxation, from Alexandria.

Values from the calculation:
For the density, the calculation gives 8.85 g cm⁻³. The formation enthalpy at 0 K is -0.195 eV per atom. The value obtained for the volume is 341 Å³ per cell. The final energy comes out at -24.8 eV per formula unit.

Lattice parameters (Å, degrees): 6.989 6.989 6.989 90.00 90.00 90.00
Space group F-43m (No. 216)
Unique sites:
Ce  0.000  0.000  0.000 [4 per cell]
Sm  0.000  0.000  0.500 [4 per cell]
Cu  0.250  0.250  0.750 [4 per cell]
Ru  0.250  0.250  0.250 [4 per cell]

***

5.
The following is a PBE-GGA calculation of TbCeCuRu after structural relaxation, from Alexandria.

Values from the calculation:
For the density, the calculation gives 9.24 g cm⁻³. The formation enthalpy at 0 K is -0.243 eV per atom. The value obtained for the volume is 333 Å³ per cell. The final energy comes out at -24.9 eV per formula unit.

Lattice parameters (Å, degrees): 6.934 6.934 6.934 90.00 90.00 90.00
Space group F-43m (No. 216)
Unique sites:
Tb  0.000  0.000  0.000 [4 per cell]
Ce  0.000  0.000  0.500 [4 per cell]
Cu  0.250  0.250  0.250 [4 per cell]
Ru  0.250  0.250  0.750 [4 per cell]

***

6.
The following is a PBE-GGA calculation of CeYCuRu after structural relaxation, from Alexandria.

Values from the calculation:
For the density, the calculation gives 7.85 g cm⁻³. The formation enthalpy at 0 K is -0.241 eV per atom. The value obtained for the volume is 333 Å³ per cell. The final energy comes out at -26.7 eV per formula unit.

Lattice parameters (Å, degrees): 6.932 6.932 6.932 90.00 90.00 90.00
Space group F-43m (No. 216)
Unique sites:
Ce  0.000  0.000  0.000 [4 per cell]
Y  0.000  0.000  0.500 [4 per cell]
Cu  0.250  0.250  0.250 [4 per cell]
Ru  0.250  0.250  0.750 [4 per cell]

***

7.
The following is a PBE-GGA calculation of Ce2ZnCuRu after structural relaxation, from Alexandria.

Values from the calculation:
For the density, the calculation gives 8.11 g cm⁻³. The formation enthalpy at 0 K is -0.233 eV per atom. The value obtained for the volume is 209 Å³ per cell. The final energy comes out at -27.7 eV per formula unit.

Lattice parameters (Å, degrees): 6.914 4.112 7.587 90.00 104.47 90.00
Space group P2_1/m (No. 11)
Unique sites:
Ce  0.130  0.250  0.342 [2 per cell]
Ce  0.299  0.250  0.942 [2 per cell]
Zn  0.338  0.750  0.651 [2 per cell]
Cu  0.463  0.750  0.363 [2 per cell]
Ru  0.151  0.750  0.090 [2 per cell]

***

8.
The following is a PBE-GGA calculation of CeZrCuRu after structural relaxation, from Alexandria.

Values from the calculation:
For the density, the calculation gives 8.51 g cm⁻³. The formation enthalpy at 0 K is -0.186 eV per atom. The value obtained for the volume is 309 Å³ per cell. The final energy comes out at -28.6 eV per formula unit.

Lattice parameters (Å, degrees): 6.760 6.760 6.760 90.00 90.00 90.00
Space group F-43m (No. 216)
Unique sites:
Ce  0.000  0.000  0.000 [4 per cell]
Zr  0.000  0.000  0.500 [4 per cell]
Cu  0.250  0.250  0.750 [4 per cell]
Ru  0.250  0.250  0.250 [4 per cell]